NaCa2, optimized geometry, DFT GGA-PBE; DOS(E_F) = 0.66 states/eV per atom; E_tot = -1.701 eV per atom
1.0
7.063 0.615 1.205
3.979 5.847 1.302
1.397 0.759 3.450
Ca Na
2 1
Direct
0.447 0.993 0.619 Ca
0.114 0.660 0.856 Ca
0.781 0.327 0.235 Na

SrMg2As, optimized geometry, DFT GGA-PBE; DOS(E_F) = 0.41 states/eV per atom; E_tot = -2.751 eV per atom
1.0
-2.918 -0.504 -4.261
-0.663 -4.306 0.963
-3.630 1.086 2.357
Mg As Sr
2 1 1
Direct
0.000 0.000 0.000 Mg
0.000 0.500 0.500 Mg
0.500 0.000 0.500 As
0.500 0.500 0.000 Sr

Ρ per entry: 1.40, 3.39 g cm⁻³
Formation energy per entry: 0.073, -0.371 eV/atom